The following is a GGA-PBE calculation of an optimized crystal structure of YZnCu2, from Alexandria.

```
4
Lattice="4.264 0.000 0.000 0.000 3.455 -0.438 0.000 0.636 5.022" Properties=species:S:1:pos:R:3 pbc="T T T"
Cu 0.000 2.592 -0.322
Cu 0.000 2.909 2.177
Y 2.132 1.023 1.146
Zn 2.132 3.069 3.438
```

Computed properties:
As for the space group: Pmmm (47).

The following is a GGA-PBE calculation of an optimized crystal structure of Pm4Al3In, from Alexandria.

```
8
Lattice="-0.056 0.710 3.656 -2.964 -2.223 0.386 9.137 -11.759 2.424" Properties=species:S:1:pos:R:3 pbc="T T T"
In -1.510 -0.757 2.021
Al 0.835 -3.775 2.643
Al 3.058 -6.636 3.233
Al 5.282 -9.498 3.823
Pm 7.909 -10.179 2.098
Pm 1.228 -1.581 0.326
Pm 3.461 -4.455 0.918
Pm 5.676 -7.305 1.506
```

Computed properties:
As for the polymorph energy (0 for the lowest one): 0.000 eV per atom. As for the space group: P4/mmm (123).

The following is a GGA-PBE calculation of an optimized crystal structure of La5PmDyY2, from Alexandria.

```
18
Lattice="-7.420 5.949 -1.150 -5.938 -7.501 -0.488 5.791 1.023 7.828" Properties=species:S:1:pos:R:3 pbc="T T T"
La -7.936 2.580 0.874
La -1.654 3.467 4.827
La 0.369 -3.109 5.316
La 2.626 1.213 5.449
La -3.911 -0.855 4.694
La -10.193 -1.742 0.740
La -3.656 0.326 1.496
La -5.913 -3.996 1.362
La -6.679 -0.776 -0.819
La 0.000 0.000 0.000
Pm -0.444 0.123 3.504
Pm -7.123 -0.653 2.685
Dy -3.413 -3.627 3.260
Dy -4.154 3.098 2.929
Y -3.130 -2.294 -0.316
Y -5.157 2.806 -0.752
Y -8.202 -4.359 -0.886
Y -10.229 0.742 -1.322
```

Computed properties:
As for the space group: I4/mcm (140).

| no. | calculated formation energy (meV per atom) | E_tot (Ry per atom) |
| --- | --- | --- |
| 1 | -110 | -0.3008 |
| 2 | -397 | -0.3321 |
| 3 | 295 | -0.3615 |